A relaxed CaReP2 crystal, computed with PBE.

Values from the calculation:
E: -6.147 eV/atom
energy relative to the elements: 0.7 eV/f.u.

a b c (Å): 3.1640 4.3703 4.7085
angles (deg): 90.00 90.00 90.00
Last column: nearest neighbours and their distance in Å.
Space group Pmmm (No. 47)
Symmetry-distinct sites (fractional):
Ca 0.0000 0.0000 0.0000 x1  8 P 2.70-2.84
Re 0.0000 0.5000 0.5000 x1  8 P 2.70-2.84
P 0.5000 0.0000 0.5000 x1  4 Re 2.70, 4 Ca 2.84
P 0.5000 0.5000 0.0000 x1  4 Ca 2.70, 4 Re 2.84

***

A relaxed CaRe2P crystal, computed with PBE.

Values from the calculation:
E: -7.628 eV/atom
energy relative to the elements: 1.8 eV/f.u.

a b c (Å): 2.9975 4.8272 4.7056
angles (deg): 90.00 92.70 90.00
Last column: nearest neighbours and their distance in Å.
Space group P2/m (No. 10)
Symmetry-distinct sites (fractional):
Ca 0.0000 0.0000 0.0000 x1  4 P 2.73-2.85, 4 Re 2.91, 2 Ca 3.00
Re 0.3390 0.5000 0.7401 x2  2 Re 2.50-2.59, 2 P 2.72
P 0.5000 0.0000 0.5000 x1  4 Re 2.72, 4 Ca 2.73-2.85, 2 P 3.00

***

A relaxed CaReP crystal, computed with PBE.

Values from the calculation:
E: -6.382 eV/atom
energy relative to the elements: 0.7 eV/f.u.

a b c (Å): 6.0812 6.0812 6.0812
angles (deg): 90.00 90.00 90.00
Last column: nearest neighbours and their distance in Å.
Space group F-43m (No. 216)
Symmetry-distinct sites (fractional):
Ca 0.0000 0.0000 0.0000 x4  4 P 2.63
Re 0.0000 0.0000 0.5000 x4  4 P 2.63
P 0.2500 0.2500 0.2500 x4  4 Re 2.63, 4 Ca 2.63

***

A relaxed CaReP2 crystal, computed with PBE.

Values from the calculation:
E: -6.611 eV/atom
energy relative to the elements: -1.2 eV/f.u.

a b c (Å): 5.9905 5.9905 11.2026
angles (deg): 90.00 90.00 90.00
Last column: nearest neighbours and their distance in Å.
Space group I-42d (No. 122)
Symmetry-distinct sites (fractional):
Ca 0.0000 0.0000 0.0000 x4  4 P 2.87
Re 0.0000 0.0000 0.5000 x4  4 P 2.27
P 0.1636 0.2500 0.6250 x8  2 Re 2.27

***

A relaxed CaReP2 crystal, computed with PBE.

Values from the calculation:
E: -6.675 eV/atom
energy relative to the elements: -1.4 eV/f.u.

a b c (Å): 3.0750 3.0750 6.8966
angles (deg): 90.00 90.00 90.00
Last column: nearest neighbours and their distance in Å.
Space group P4/mmm (No. 123)
Symmetry-distinct sites (fractional):
Ca 0.0000 0.0000 0.0000 x1  8 P 3.00, 4 Ca 3.08
Re 0.0000 0.0000 0.5000 x1  8 P 2.58
P 0.5000 0.5000 0.2993 x2  4 Re 2.58, 1 P 2.77

***

A relaxed CaRe2P crystal, computed with PBE.

Values from the calculation:
E: -7.546 eV/atom
energy relative to the elements: 2.1 eV/f.u.

a b c (Å): 6.3896 6.3896 6.3896
angles (deg): 90.00 90.00 90.00
Last column: nearest neighbours and their distance in Å.
Space group F-43m (No. 216)
Symmetry-distinct sites (fractional):
Ca 0.0000 0.0000 0.0000 x4  4 Re 2.77, 4 P 2.77
Re 0.0000 0.0000 0.5000 x4  4 P 2.77, 4 Re 2.77
Re 0.2500 0.2500 0.7500 x4  4 Re 2.77, 4 Ca 2.77
P 0.2500 0.2500 0.2500 x4  4 Ca 2.77, 4 Re 2.77

***

A relaxed CaReP2 crystal, computed with PBE.

Values from the calculation:
E: -6.795 eV/atom
energy relative to the elements: -1.9 eV/f.u.

a b c (Å): 7.0047 3.3491 6.3668
angles (deg): 90.00 105.01 90.00
Last column: nearest neighbours and their distance in Å.
Space group C2/m (No. 12)
Symmetry-distinct sites (fractional):
Ca 0.0000 0.0000 0.0000 x2  6 P 2.86-2.87
Re 0.0000 0.5000 0.5000 x2  6 P 2.45-2.47
P 0.2358 0.0000 0.6933 x4  3 Re 2.45-2.47

***

A relaxed CaRe2P crystal, computed with PBE.

Values from the calculation:
E: -8.153 eV/atom
energy relative to the elements: -0.3 eV/f.u.

a b c (Å): 4.1770 4.1770 16.0046
angles (deg): 90.00 90.00 120.00
Last column: nearest neighbours and their distance in Å.
Space group R3m (No. 160, hexagonal axes)
Symmetry-distinct sites (fractional):
Ca 0.0000 0.0000 0.0000 x3  4 P 3.10-3.39, 4 Re 3.16-3.25
Re 0.0000 0.0000 0.5054 x3  3 Re 2.48, 3 P 2.49
Re 0.0000 0.0000 0.8024 x3  3 Re 2.48, 3 P 2.70
P 0.0000 0.0000 0.2118 x3  6 Re 2.49-2.70

***

A relaxed CaReP2 crystal, computed with PBE.

Values from the calculation:
E: -6.470 eV/atom
energy relative to the elements: -0.6 eV/f.u.

a b c (Å): 6.3076 6.3076 6.3076
angles (deg): 90.00 90.00 90.00
Last column: nearest neighbours and their distance in Å.
Space group Fm-3m (No. 225)
Symmetry-distinct sites (fractional):
Ca 0.0000 0.0000 0.0000 x4  8 P 2.73
Re 0.0000 0.0000 0.5000 x4  8 P 2.73
P 0.2500 0.2500 0.2500 x8  4 Re 2.73, 4 Ca 2.73

***

A relaxed CaReP2 crystal, computed with PBE.

Values from the calculation:
E: -5.644 eV/atom
energy relative to the elements: 2.7 eV/f.u.

a b c (Å): 6.4048 6.4048 6.4048
angles (deg): 90.00 90.00 90.00
Last column: nearest neighbours and their distance in Å.
Space group F-43m (No. 216)
Symmetry-distinct sites (fractional):
Ca 0.0000 0.0000 0.0000 x4  4 Re 2.77, 4 P 2.77
Re 0.2500 0.2500 0.2500 x4  4 Ca 2.77, 4 P 2.77
P 0.0000 0.0000 0.5000 x4  4 Re 2.77, 4 P 2.77
P 0.2500 0.2500 0.7500 x4  4 Ca 2.77, 4 P 2.77

***

A relaxed CaReP crystal, computed with PBE.

Values from the calculation:
E: -7.087 eV/atom
energy relative to the elements: -1.4 eV/f.u.

a b c (Å): 4.0394 4.0394 7.2039
angles (deg): 90.00 90.00 90.00
Last column: nearest neighbours and their distance in Å.
Space group P4/nmm (No. 129, origin choice 2)
Symmetry-distinct sites (fractional):
Ca 0.2500 0.2500 0.1615 x2  5 P 3.06-3.42, 4 Re 3.17
Re 0.2500 0.7500 0.5000 x2  4 P 2.43
P 0.2500 0.2500 0.6864 x2  4 Re 2.43

***

A relaxed CaReP3 crystal, computed with PBE.

Values from the calculation:
E: -6.115 eV/atom
energy relative to the elements: 0.1 eV/f.u.

a b c (Å): 4.7042 4.7042 4.7042
angles (deg): 90.00 90.00 90.00
Last column: nearest neighbours and their distance in Å.
Space group Pm-3m (No. 221)
Symmetry-distinct sites (fractional):
Ca 0.0000 0.0000 0.0000 x1  12 P 3.33
Re 0.5000 0.5000 0.5000 x1  6 P 2.35
P 0.0000 0.5000 0.5000 x3  2 Re 2.35

***

A relaxed CaRe2P crystal, computed with PBE.

Values from the calculation:
E: -7.559 eV/atom
energy relative to the elements: 2.1 eV/f.u.

a b c (Å): 3.2579 4.2495 4.8817
angles (deg): 90.00 90.00 90.00
Last column: nearest neighbours and their distance in Å.
Space group Pmmm (No. 47)
Symmetry-distinct sites (fractional):
Ca 0.0000 0.0000 0.0000 x1  4 P 2.68, 4 Re 2.93
Re 0.0000 0.5000 0.5000 x1  4 Re 2.68, 4 P 2.93
Re 0.5000 0.0000 0.5000 x1  4 Re 2.68, 4 Ca 2.93
P 0.5000 0.5000 0.0000 x1  4 Ca 2.68, 4 Re 2.93

***

A relaxed CaReP crystal, computed with PBE.

Values from the calculation:
E: -6.909 eV/atom
energy relative to the elements: -0.9 eV/f.u.

a b c (Å): 3.9633 3.9633 4.6368
angles (deg): 90.00 90.00 120.00
Last column: nearest neighbours and their distance in Å.
Space group P-6m2 (No. 187)
Symmetry-distinct sites (fractional):
Ca 0.0000 0.0000 0.0000 x1  6 Re 3.26, 6 P 3.26
Re 0.3333 0.6667 0.5000 x1  3 P 2.29
P 0.6667 0.3333 0.5000 x1  3 Re 2.29

***

A relaxed CaReP2 crystal, computed with PBE.

Values from the calculation:
E: -6.743 eV/atom
energy relative to the elements: -1.7 eV/f.u.

a b c (Å): 7.3460 3.3395 6.6279
angles (deg): 90.00 106.39 90.00
Last column: nearest neighbours and their distance in Å.
Space group Cm (No. 8)
Symmetry-distinct sites (fractional):
Ca 0.0000 0.0000 0.0000 x2  6 P 2.91-3.10
Re 0.2296 0.5000 0.4447 x2  5 P 2.31-2.40
P 0.2272 0.0000 0.7025 x2  2 Re 2.39
P 0.4025 0.0000 0.3138 x2  3 Re 2.31-2.40

***

A relaxed CaRe2P crystal, computed with PBE.

Values from the calculation:
E: -7.738 eV/atom
energy relative to the elements: 1.4 eV/f.u.

a b c (Å): 2.9955 2.9955 7.6377
angles (deg): 90.00 90.00 90.00
Last column: nearest neighbours and their distance in Å.
Space group P4/mmm (No. 123)
Symmetry-distinct sites (fractional):
Ca 0.0000 0.0000 0.0000 x1  4 Ca 3.00, 8 Re 3.27
Re 0.5000 0.5000 0.3259 x2  4 P 2.50, 1 Re 2.66
P 0.0000 0.0000 0.5000 x1  8 Re 2.50

***

A relaxed CaRe2P crystal, computed with PBE.

Values from the calculation:
E: -7.891 eV/atom
energy relative to the elements: 0.7 eV/f.u.

a b c (Å): 2.8693 4.7189 9.7584
angles (deg): 90.00 90.00 90.00
Last column: nearest neighbours and their distance in Å.
Space group Immm (No. 71)
Symmetry-distinct sites (fractional):
Ca 0.0000 0.0000 0.0000 x2  4 P 2.76, 2 Ca 2.87, 4 Re 3.09
Re 0.0000 0.5000 0.2043 x4  2 P 2.46
P 0.0000 0.0000 0.5000 x2  4 Re 2.46

***

A relaxed CaRe2P crystal, computed with PBE.

Values from the calculation:
E: -7.542 eV/atom
energy relative to the elements: 2.1 eV/f.u.

a b c (Å): 5.4594 10.5657 2.7302
angles (deg): 90.00 119.70 90.00
Last column: nearest neighbours and their distance in Å.
Space group C2/m (No. 12)
Symmetry-distinct sites (fractional):
Ca 0.0000 0.0000 0.0000 x2  4 P 2.73-2.74, 2 Ca 2.73, 4 Re 2.98
Re 0.2500 0.2500 0.5000 x4  6 Re 2.73-2.74, 2 Ca 2.98, 2 P 2.98
P 0.0000 0.5000 0.0000 x2  4 Ca 2.73-2.74, 2 P 2.73, 4 Re 2.98

***

A relaxed CaRe2P crystal, computed with PBE.

Values from the calculation:
E: -7.237 eV/atom
energy relative to the elements: 3.4 eV/f.u.

a b c (Å): 5.2326 9.6572 2.7093
angles (deg): 90.00 90.00 90.00
Last column: nearest neighbours and their distance in Å.
Space group Cmmm (No. 65)
Symmetry-distinct sites (fractional):
Ca 0.0000 0.0000 0.0000 x2  2 P 2.62, 2 Ca 2.71
Re 0.2500 0.2500 0.5000 x4  4 Re 2.62-2.71
P 0.0000 0.5000 0.0000 x2  2 Ca 2.62, 2 P 2.71

***

A relaxed CaReP2 crystal, computed with PBE.

Values from the calculation:
E: -6.617 eV/atom
energy relative to the elements: -1.2 eV/f.u.

a b c (Å): 3.7805 4.0109 4.9383
angles (deg): 90.00 90.00 90.00
Last column: nearest neighbours and their distance in Å.
Space group Pmmm (No. 47)
Symmetry-distinct sites (fractional):
Ca 0.0000 0.0000 0.0000 x1  8 P 2.98, 4 Re 3.11
Re 0.5000 0.0000 0.5000 x1  4 P 2.41
P 0.5000 0.5000 0.2311 x2  1 P 2.28, 2 Re 2.41